No. 1
The following is a PBE-GGA calculation of crystalline FeRu2Au at its relaxed geometry, from Alexandria.

Lattice parameters (Å, degrees): 4.7239 2.7619 4.7285 90.00 109.37 90.00
Closest atoms and distances in Å follow each position.
Space group P2/m (No. 10)
Inequivalent atoms, fractional coordinates:
Fe 0.0000 0.0000 0.0000 (multiplicity 1)  6 Ru 2.73-2.74, 4 Au 2.74, 2 Fe 2.76
Ru 0.0000 0.5000 0.5000 (multiplicity 1)  2 Au 2.73, 6 Ru 2.74-2.76, 4 Fe 2.74
Ru 0.5000 0.0000 0.5000 (multiplicity 1)  2 Fe 2.73, 6 Ru 2.74-2.76, 4 Au 2.74
Au 0.5000 0.5000 0.0000 (multiplicity 1)  6 Ru 2.73-2.74, 4 Fe 2.74, 2 Au 2.76

Computed properties:
The energy above the most stable polymorph in this dataset comes out at 0.130 eV per atom. The formation enthalpy at 0 K comes out at 32 kJ per mole of atoms. As for the calculated density: 12.98 g cm⁻³.

***

No. 2
The following is a PBE-GGA calculation of crystalline Pr4BiS2 at its relaxed geometry, from Alexandria.

Lattice parameters (Å, degrees): 4.2832 13.6308 14.0121 90.00 90.00 90.00
Closest atoms and distances in Å follow each position.
Space group Cmcm (No. 63)
Inequivalent atoms, fractional coordinates:
Pr 0.0000 0.0000 0.0000 (multiplicity 4)  4 S 2.92
Pr 0.0000 0.2630 0.1130 (multiplicity 8)  3 S 2.82-2.89
Pr 0.0000 0.4347 0.7500 (multiplicity 4)  2 S 2.81
Bi 0.0000 0.1118 0.7500 (multiplicity 4)  6 Pr 3.23-3.34
S 0.0000 0.3684 0.5600 (multiplicity 8)  6 Pr 2.81-2.92

Computed properties:
The formation energy without anion corrections is -1.432 eV per atom. As for the calculated density: 6.79 g cm⁻³.

***

No. 3
The following is a PBE-GGA calculation of crystalline BaSrAc2 at its relaxed geometry, from Alexandria.

Lattice parameters (Å, degrees): 4.0984 4.0984 41.0530 90.00 90.00 120.00
Closest atoms and distances in Å follow each position.
Space group R3m (No. 160, hexagonal axes)
Inequivalent atoms, fractional coordinates:
Ba 0.0000 0.0000 0.0000 (multiplicity 3)  6 Ba 4.10, 6 Ac 4.19-4.21
Sr 0.0000 0.0000 0.8339 (multiplicity 3)  6 Sr 4.10, 6 Ac 4.11-4.13
Ac 0.0000 0.0000 0.2492 (multiplicity 3)  6 Ac 4.10, 3 Sr 4.11, 3 Ba 4.19
Ac 0.0000 0.0000 0.4181 (multiplicity 3)  6 Ac 4.10, 3 Sr 4.13, 3 Ba 4.21

Computed properties:
The energy above the most stable polymorph in this dataset comes out at 0.035 eV per atom. The formation enthalpy at 0 K comes out at 9 kJ per mole of atoms. As for the calculated density: 5.66 g cm⁻³.

***

No. 4
The following is a PBE-GGA calculation of crystalline AcThPtI at its relaxed geometry, from Alexandria.

Lattice parameters (Å, degrees): 4.3300 4.3300 25.2976 90.00 90.00 120.00
Closest atoms and distances in Å follow each position.
Space group R3m (No. 160, hexagonal axes)
Inequivalent atoms, fractional coordinates:
Ac 0.0000 0.0000 0.0000 (multiplicity 3)  3 Pt 3.08
Th 0.0000 0.0000 0.2066 (multiplicity 3)  3 Pt 2.87
Pt 0.0000 0.0000 0.5955 (multiplicity 3)  3 Th 2.87, 3 Ac 3.08
I 0.0000 0.0000 0.7742 (multiplicity 3)  3 Th 3.54, 3 Ac 3.70

Computed properties:
The formation energy without anion corrections is -1.047 eV per atom. As for the calculated density: 9.47 g cm⁻³.